# 1
Material: MgScP4
Method: DFT, PBE
State: relaxed

Lattice parameters (Å, degrees): 5.175 5.175 5.175 60.00 60.00 60.00
Sites, in units of the cell vectors:
Sc1 0.250 0.250 0.250
P1 0.627 0.120 0.627
P2 0.627 0.627 0.120
P3 0.627 0.627 0.627
P4 0.120 0.627 0.627
Mg1 0.000 0.000 0.000

As for the symmetry: F-43m (216).

***

# 2
Material: MgSc3P
Method: DFT, PBE
State: relaxed

Lattice parameters (Å, degrees): 4.967 4.967 4.967 90.00 90.00 90.00
Sites, in units of the cell vectors:
Sc1 0.500 0.000 0.000
P1 0.000 0.000 0.000
Sc2 0.000 0.000 0.500
Mg1 0.500 0.500 0.500
Sc3 0.000 0.500 0.000

As for the symmetry: Pm-3m (221). The energy relative to the lowest polymorph listed for this composition comes out at 0.000 eV/atom.

***

We obtain magnetization values of 0.0; 0.0 μB/cell for the records listed above, in that order.
We obtain total DFT energy (no corrections) values of -4.883; -5.686 eV/atom for the records listed above, in that order.